## Ca2Sn4Pd3Au (GGA-PBE)

Data for a relaxed structure of Ca2Sn4Pd3Au.

Calculated values
Fermi-level density of states (states/eV/cell): 3.15
Calculated volume (A^3/atom): 23.2
Energy of formation from the pure elements (meV per atom): -624
Total magnetization (μB per formula unit): 0.00

Cell: 4.5604 4.5604 11.1525 Å, 90.00 90.00 90.00°
Last column: nearest neighbours and their distance in Å.
Space group P-4m2 (No. 115)
Symmetry-distinct sites (fractional):
Ca: 0.0000 0.5000 0.2441 x2  8 Sn 3.46-3.65, 6 Pd 3.51-3.55, 2 Au 3.55
Sn: 0.0000 0.0000 0.5000 x1  4 Pd 2.72
Sn: 0.0000 0.5000 0.8673 x2  3 Pd 2.62-2.72, 2 Au 2.72
Sn: 0.5000 0.5000 0.5000 x1  4 Pd 2.72
Pd: 0.0000 0.0000 0.0000 x1  4 Sn 2.72
Pd: 0.0000 0.5000 0.6326 x2  5 Sn 2.62-2.72
Au: 0.5000 0.5000 0.0000 x1  4 Sn 2.72

=====

## CaSn2Pd4Au (GGA-PBE)

Data for a relaxed structure of CaSn2Pd4Au.

Calculated values
Fermi-level density of states (states/eV/cell): 11.77
Calculated volume (A^3/atom): 18.3
Energy of formation from the pure elements (meV per atom): -529
Total magnetization (μB per formula unit): 0.00

Cell: 4.6954 4.6954 22.9660 Å, 90.00 90.00 120.00°
Last column: nearest neighbours and their distance in Å.
Space group R-3m (No. 166, hexagonal axes)
Symmetry-distinct sites (fractional):
Ca: 0.0000 0.0000 0.0000 x3  8 Pd 2.90-2.91
Sn: 0.0000 0.0000 0.2486 x6  8 Pd 2.80-3.00
Pd: 0.0000 0.0000 0.1265 x6  4 Sn 2.80-2.88, 3 Au 2.86, 1 Ca 2.90
Pd: 0.0000 0.0000 0.3791 x6  1 Au 2.78, 4 Sn 2.85-3.00, 3 Ca 2.91
Au: 0.0000 0.0000 0.5000 x3  8 Pd 2.78-2.86

=====

## CaSnPd2Au (GGA-PBE)

Data for a relaxed structure of CaSnPd2Au.

Calculated values
Fermi-level density of states (states/eV/cell): 2.33
Calculated volume (A^3/atom): 27.0
Energy of formation from the pure elements (meV per atom): 784
Total magnetization (μB per formula unit): 0.00

Cell: 4.8446 4.8446 5.7596 Å, 90.00 90.00 90.00°
Last column: nearest neighbours and their distance in Å.
Space group P4/mmm (No. 123)
Symmetry-distinct sites (fractional):
Ca: 0.0000 0.0000 0.0000 x1  4 Pd 2.42
Sn: 0.0000 0.0000 0.5000 x1  2 Ca 2.88
Pd: 0.0000 0.5000 0.0000 x2  2 Ca 2.42
Au: 0.5000 0.5000 0.5000 x1  4 Sn 3.43, 8 Pd 3.76